Record 1
This record from Alexandria describes crystalline Cs2SrInBi2 at its relaxed geometry. The functional is GGA-PBE.

```
Cs2SrInBi2
1.0
-3.872 9.159 3.990
3.872 -9.159 3.990
3.872 9.159 -3.990
Cs Sr In Bi
4 2 2 4
Direct
0.177 0.232 0.408
0.323 0.732 0.055
0.677 0.268 0.945
0.823 0.768 0.592
0.250 0.750 0.500
0.750 0.250 0.500
0.250 0.250 0.000
0.750 0.750 0.000
0.100 0.763 0.863
0.400 0.263 0.663
0.600 0.737 0.337
0.900 0.237 0.137
```

Space-group type = Ibam
DFT formation energy = -0.482 eV/atom

***

Record 2
This record from Alexandria describes crystalline Mn2SiC2 at its relaxed geometry. The functional is GGA-PBE.

```
Mn2SiC2
1.0
5.901 0.000 0.000
0.000 5.901 0.000
0.000 0.000 2.587
Mn Si C
4 2 4
Direct
0.145 0.355 0.000
0.355 0.855 0.000
0.645 0.145 0.000
0.855 0.645 0.000
0.000 0.000 0.000
0.500 0.500 0.000
0.144 0.644 0.500
0.356 0.144 0.500
0.644 0.856 0.500
0.856 0.356 0.500
```

Space-group type = P4/mbm
Offset from the most stable computed form = 50.7 kJ per mole of atoms
ΔE_f (raw) = 0.838 eV/atom

***

Record 3
This record from Alexandria describes crystalline Mg2TaAg at its relaxed geometry. The functional is GGA-PBE.

```
Mg2TaAg
1.0
5.095 -1.416 0.000
5.095 1.416 0.000
-0.966 0.000 5.309
Mg Ta Ag
2 1 1
Direct
0.000 0.000 0.000
0.241 0.241 0.755
0.485 0.485 0.492
0.736 0.736 0.273
```

Space-group type = Cm
Offset from the most stable computed form = 21.3 kJ per mole of atoms
DFT formation energy = 0.282 eV/atom

***

Record 4
This record from Alexandria describes crystalline SrIr2Rh at its relaxed geometry. The functional is GGA-PBE.

```
SrIr2Rh
1.0
-2.044 2.044 4.253
2.044 -2.044 4.253
2.044 2.044 -4.253
Sr Ir Rh
1 2 1
Direct
0.000 0.000 0.000
0.250 0.750 0.500
0.750 0.250 0.500
0.500 0.500 0.000
```

Space-group type = I4/mmm
Offset from the most stable computed form = 25.5 kJ per mole of atoms
DFT formation energy = 0.455 eV/atom

***

Record 5
This record from Alexandria describes crystalline TaTi at its relaxed geometry. The functional is GGA-PBE.

```
TaTi
1.0
5.290 0.000 0.000
0.000 5.290 0.000
0.000 0.000 5.436
Ta Ti
4 4
Direct
0.187 0.187 0.000
0.313 0.687 0.500
0.687 0.313 0.500
0.813 0.813 0.000
0.188 0.188 0.500
0.312 0.688 0.000
0.688 0.312 0.000
0.812 0.812 0.500
```

Space-group type = P4_2/mnm
DFT formation energy = 0.784 eV/atom

***

Record 6
This record from Alexandria describes crystalline TbPm6Y6 at its relaxed geometry. The functional is GGA-PBE.

```
TbPm6Y6
1.0
3.585 -5.621 0.000
3.585 5.621 0.000
0.000 0.000 11.093
Tb Pm Y
1 6 6
Direct
0.000 0.000 0.000
0.000 0.000 0.324
0.000 0.000 0.676
0.249 0.751 0.500
0.360 0.640 0.000
0.640 0.360 0.000
0.751 0.249 0.500
0.000 0.500 0.222
0.000 0.500 0.778
0.500 0.000 0.222
0.500 0.000 0.778
0.500 0.500 0.313
0.500 0.500 0.687
```

Space-group type = Cmmm
DFT formation energy = 0.224 eV/atom

***

Results for total energy: -2.797 -7.604 -4.192 -6.234 -9.090 -5.308 (in eV/atom, following the order of the records).
Results for N(E_F): 0.4936 0.7553 0.8713 0.9807 1.3143 1.6656 (in states/eV per atom, following the order of the records).